A plane-wave DFT calculation with GGA-PBE was carried out for Cd2AgRu after structural relaxation.

Values from the calculation:
- E_form (eV/atom) = 0.296
- symmetry = I-4m2 (119)
- mass density (g cm⁻³) = 9.976
- spin magnetization (μB per atom) = 0.186

Unit cell a=5.1335 b=5.1335 c=5.1335 alpha=132.47 beta=132.47 gamma=69.48
Last column: nearest neighbours and their distance in Å.
Sites, in units of the cell vectors:
Cd 0.2500 0.7500 0.5000  4 Ag 2.93, 4 Cd 2.95, 4 Ru 2.95
Ru 0.5000 0.5000 0.0000  8 Cd 2.93-2.95, 4 Ag 2.95
Ag 0.7500 0.2500 0.5000  8 Cd 2.93-2.95, 4 Ru 2.95
Cd 0.0000 0.0000 0.0000  4 Ru 2.93, 4 Cd 2.95, 4 Ag 2.95

---

A plane-wave DFT calculation with GGA-PBE was carried out for Cd2AgRu after structural relaxation.

Values from the calculation:
- E_form (eV/atom) = 0.187
- symmetry = P4/mmm (123)
- mass density (g cm⁻³) = 10.098
- spin magnetization (μB per atom) = 0.000

Unit cell a=4.4470 b=3.6065 c=4.4474 alpha=89.99 beta=90.00 gamma=90.00
Last column: nearest neighbours and their distance in Å.
Sites, in units of the cell vectors:
Ru 0.0000 0.6250 0.3751  8 Cd 2.86, 4 Ag 3.14-3.15
Ag 0.5000 0.6250 0.8747  8 Cd 2.86, 4 Ru 3.14-3.15
Cd 0.0000 0.1250 0.8752  4 Ru 2.86, 4 Ag 2.86, 4 Cd 3.14-3.15
Cd 0.5000 0.1250 0.3749  4 Ag 2.86, 4 Ru 2.86, 4 Cd 3.14-3.15

---

A plane-wave DFT calculation with GGA-PBE was carried out for Cd2AgRu after structural relaxation.

Values from the calculation:
- E_form (eV/atom) = 0.352
- symmetry = P4mm (99)
- mass density (g cm⁻³) = 9.862
- spin magnetization (μB per atom) = 0.085

Unit cell a=3.4466 b=3.4466 c=6.1482 alpha=90.00 beta=90.00 gamma=90.00
Last column: nearest neighbours and their distance in Å.
Sites, in units of the cell vectors:
Ru 0.0000 0.0000 0.4961  5 Cd 2.79-3.01, 4 Ag 2.87
Ag 0.5000 0.5000 0.7418  5 Cd 2.86-2.87, 4 Ru 2.87
Cd 0.5000 0.5000 0.2756  4 Ru 2.79, 1 Ag 2.87, 4 Cd 3.02
Cd 0.0000 0.0000 0.9865  4 Ag 2.86, 2 Ru 3.01-3.13, 4 Cd 3.02

---

A plane-wave DFT calculation with GGA-PBE was carried out for Cd2AgRu after structural relaxation.

Values from the calculation:
- E_form (eV/atom) = 0.206
- symmetry = Cmmm (65)
- mass density (g cm⁻³) = 10.029
- spin magnetization (μB per atom) = 0.219

Unit cell a=4.9859 b=4.9859 c=2.9955 alpha=90.00 beta=90.00 gamma=105.33
Last column: nearest neighbours and their distance in Å.
Sites, in units of the cell vectors:
Ru 0.5000 0.0000 0.5000  8 Cd 2.91, 2 Ru 3.00, 2 Ag 3.02
Cd 0.0000 0.0000 0.0000  4 Ru 2.91, 4 Ag 2.91, 4 Cd 3.00-3.02
Ag 0.0000 0.5000 0.5000  8 Cd 2.91, 2 Ag 3.00, 2 Ru 3.02
Cd 0.5000 0.5000 0.0000  4 Ag 2.91, 4 Ru 2.91, 4 Cd 3.00-3.02

---

A plane-wave DFT calculation with GGA-PBE was carried out for CdAg4Ru after structural relaxation.

Values from the calculation:
- E_form (eV/atom) = 0.493
- symmetry = F-43m (216)
- mass density (g cm⁻³) = 9.635
- spin magnetization (μB per atom) = 0.173

Unit cell a=5.3969 b=5.3969 c=5.3969 alpha=60.00 beta=60.00 gamma=60.00
Last column: nearest neighbours and their distance in Å.
Sites, in units of the cell vectors:
Ag 0.3747 0.3747 0.8758  6 Ag 2.69-2.70
Ag 0.3747 0.8758 0.3747  6 Ag 2.69-2.70
Ag 0.8758 0.3747 0.3747  6 Ag 2.69-2.70
Ag 0.3747 0.3747 0.3747  6 Ag 2.69-2.70
Ru 0.0000 0.0000 0.0000  12 Ag 3.16, 4 Cd 3.30
Cd 0.7500 0.7500 0.7500  12 Ag 3.16, 4 Ru 3.30

---

A plane-wave DFT calculation with GGA-PBE was carried out for Cd2AgRu after structural relaxation.

Values from the calculation:
- E_form (eV/atom) = 0.203
- symmetry = R-3m (166)
- mass density (g cm⁻³) = 10.048
- spin magnetization (μB per atom) = 0.142

Unit cell a=9.6915 b=9.6915 c=9.6915 alpha=17.48 beta=17.48 gamma=17.48
Last column: nearest neighbours and their distance in Å.
Sites, in units of the cell vectors:
Ag 0.7500 0.7500 0.7500  6 Ag 2.95, 6 Cd 2.99
Cd 0.9973 0.9973 0.9973  3 Ru 2.87, 6 Cd 2.95, 3 Ag 2.99
Ru 0.2500 0.2500 0.2500  6 Cd 2.87, 6 Ru 2.95
Cd 0.5027 0.5027 0.5027  3 Ru 2.87, 6 Cd 2.95, 3 Ag 2.99

---

A plane-wave DFT calculation with GGA-PBE was carried out for CdAg2Ru after structural relaxation.

Values from the calculation:
- E_form (eV/atom) = 0.298
- symmetry = R-3m (166)
- mass density (g cm⁻³) = 10.305
- spin magnetization (μB per atom) = 0.097

Unit cell a=9.8996 b=9.8996 c=9.8996 alpha=16.61 beta=16.61 gamma=16.61
Last column: nearest neighbours and their distance in Å.
Sites, in units of the cell vectors:
Ag 0.0035 0.0035 0.0035  6 Ag 2.86, 3 Ru 2.86, 3 Cd 3.03
Ag 0.4965 0.4965 0.4965  6 Ag 2.86, 3 Ru 2.86, 3 Cd 3.03
Ru 0.7500 0.7500 0.7500  6 Ru 2.86, 6 Ag 2.86
Cd 0.2500 0.2500 0.2500  6 Cd 2.86, 6 Ag 3.03

---

A plane-wave DFT calculation with GGA-PBE was carried out for CdAgRu4 after structural relaxation.

Values from the calculation:
- E_form (eV/atom) = 0.586
- symmetry = F-43m (216)
- mass density (g cm⁻³) = 10.489
- spin magnetization (μB per atom) = 0.490

Unit cell a=5.1904 b=5.1904 c=5.1904 alpha=60.00 beta=60.00 gamma=60.00
Last column: nearest neighbours and their distance in Å.
Sites, in units of the cell vectors:
Ru 0.3752 0.3752 0.8744  6 Ru 2.59-2.60
Ru 0.3752 0.3752 0.3752  6 Ru 2.59-2.60
Cd 0.0000 0.0000 0.0000  12 Ru 3.04, 4 Ag 3.18
Ru 0.3752 0.8744 0.3752  6 Ru 2.59-2.60
Ru 0.8744 0.3752 0.3752  6 Ru 2.59-2.60
Ag 0.7500 0.7500 0.7500  12 Ru 3.04, 4 Cd 3.18

---

> mass density of number 5 (CdAg4Ru)?

9.635 g cm⁻³